Record 1
First-principles (PBEsol) data for a relaxed structure of MnBe2As2, as listed in Alexandria.

Results
ρ: 5.892 g cm⁻³
energy of formation: 0.270 eV per atom

Unit cell a=3.2241 b=6.2413 c=6.2413 alpha=90.00 beta=90.00 gamma=90.00
Site moments in Bohr magnetons follow the coordinates.
Sites, in units of the cell vectors:
1 As 0.5000 0.3177 0.1823  -0.03
2 As 0.5000 0.1823 0.6823  -0.03
3 Be 0.0000 0.1217 0.3783  -0.01
4 Be 0.0000 0.8783 0.6217  -0.01
5 Be 0.0000 0.6217 0.1217  -0.01
6 Be 0.0000 0.3783 0.8783  -0.01
7 As 0.5000 0.8177 0.3177  -0.03
8 Mn 0.0000 0.5000 0.5000  2.88
9 Mn 0.0000 0.0000 0.0000  2.88
10 As 0.5000 0.6823 0.8177  -0.03

Record 2
First-principles (PBEsol) data for a relaxed structure of Fe4MoPt, as listed in Alexandria.

Results
ρ: 12.001 g cm⁻³
energy of formation: -0.124 eV per atom

Unit cell a=4.6517 b=4.6517 c=4.6517 alpha=60.00 beta=60.00 gamma=60.00
Site moments in Bohr magnetons follow the coordinates.
Sites, in units of the cell vectors:
1 Fe 0.3746 0.3746 0.3746  1.67
2 Mo 0.7500 0.7500 0.7500  -0.73
3 Fe 0.8762 0.3746 0.3746  1.67
4 Pt 0.0000 0.0000 0.0000  0.16
5 Fe 0.3746 0.8762 0.3746  1.67
6 Fe 0.3746 0.3746 0.8762  1.67